The following is a DFT calculation (PBE-GGA) of crystalline ZrMn2I at its relaxed geometry.

Computed properties:
Fermi-level density of states   31.21 states/eV per cell
V   16.09 Å³ per atom
Crystal system   cubic
Distance to the lowest polymorph of the same formula   0.099 eV/atom

Lattice parameters (Å, degrees): 6.362 6.362 6.362 90.00 90.00 90.00
Space group Fm-3m (No. 225)
Symmetry-distinct sites (fractional):
Zr: 0.000 0.000 0.000 x4
Mn: 0.250 0.250 0.250 x8
I: 0.000 0.000 0.500 x4